No. 1
Density functional theory data (meta-GGA SCAN) for a PBEsol-optimized structure of TlSiSe4.

Unit cell a=5.7283 b=5.7283 c=5.7283 alpha=60.00 beta=60.00 gamma=60.00
With the nearest neighbours (Å) after each atom.
Fractional coordinates of all 6 atoms:
Tl (0.0000, 0.0000, 0.0000)  12 Se 3.36, 4 Si 3.51
Si (0.2500, 0.2500, 0.2500)  12 Se 3.36, 4 Tl 3.51
Se (0.1279, 0.6240, 0.6240)  6 Se 2.84-2.89
Se (0.6240, 0.1279, 0.6240)  6 Se 2.84-2.89
Se (0.6240, 0.6240, 0.1279)  6 Se 2.84-2.89
Se (0.6240, 0.6240, 0.6240)  6 Se 2.84-2.89

E_tot: -158.5 eV per cell
formation energy (no corrections): 0.693 eV per atom
space-group type: F-43m (216)
magnetic moment: 0.000 μB/cell

No. 2
Density functional theory data (meta-GGA SCAN) for a PBEsol-optimized structure of SiW2Se.

Unit cell a=4.3464 b=4.3464 c=4.3464 alpha=60.00 beta=60.00 gamma=60.00
With the nearest neighbours (Å) after each atom.
Fractional coordinates of all 4 atoms:
Si (0.0000, 0.0000, 0.0000)  8 W 2.66
W (0.2500, 0.2500, 0.2500)  4 Se 2.66, 4 Si 2.66
W (0.7500, 0.7500, 0.7500)  4 Se 2.66, 4 Si 2.66
Se (0.5000, 0.5000, 0.5000)  8 W 2.66

E_tot: -167.6 eV per cell
energy relative to the lowest polymorph listed for this composition: 169 meV per atom
formation energy (no corrections): 0.469 eV per atom
space-group type: Fm-3m (225)
magnetic moment: 0.000 μB/cell

No. 3
Density functional theory data (meta-GGA SCAN) for a PBEsol-optimized structure of SiW2Se.

Unit cell a=8.3581 b=8.3581 c=8.3581 alpha=20.09 beta=20.09 gamma=20.09
With the nearest neighbours (Å) after each atom.
Fractional coordinates of all 4 atoms:
Si (0.0000, 0.0000, 0.0000)  6 W 2.66, 6 Si 2.92
W (0.2497, 0.2497, 0.2497)  3 Se 2.64, 3 Si 2.66, 6 W 2.92
W (0.7503, 0.7503, 0.7503)  3 Se 2.64, 3 Si 2.66, 6 W 2.92
Se (0.5000, 0.5000, 0.5000)  6 W 2.64, 6 Se 2.92

E_tot: -167.5 eV per cell
energy relative to the lowest polymorph listed for this composition: 182 meV per atom
formation energy (no corrections): 0.482 eV per atom
space-group type: R-3m (166)
magnetic moment: 0.000 μB/cell

No. 4
Density functional theory data (meta-GGA SCAN) for a PBEsol-optimized structure of SiW2Se.

Unit cell a=8.0403 b=8.0403 c=8.0403 alpha=21.89 beta=21.89 gamma=21.89
With the nearest neighbours (Å) after each atom.
Fractional coordinates of all 4 atoms:
Si (0.0000, 0.0000, 0.0000)  3 W 2.51, 3 Se 2.75
W (0.4995, 0.4995, 0.4995)  3 Se 2.54, 3 W 2.76
W (0.7427, 0.7427, 0.7427)  3 Si 2.51, 3 W 2.76
Se (0.2438, 0.2438, 0.2438)  3 W 2.54, 3 Si 2.75

E_tot: -168.2 eV per cell
energy relative to the lowest polymorph listed for this composition: 15 meV per atom
formation energy (no corrections): 0.315 eV per atom
space-group type: R3m (160)
magnetic moment: 0.000 μB/cell

No. 5
Density functional theory data (meta-GGA SCAN) for a PBEsol-optimized structure of SiWSe2.

Unit cell a=3.4255 b=3.1943 c=7.2506 alpha=90.00 beta=97.86 gamma=90.00
With the nearest neighbours (Å) after each atom.
Fractional coordinates of all 4 atoms:
Si (0.0000, 0.0000, 0.0000)  2 Se 2.43, 4 W 2.57-2.59
W (0.5388, 0.5000, 0.1504)  3 Se 2.46-2.64, 4 Si 2.57-2.59
Se (0.2509, 0.5000, 0.7933)  2 Si 2.43, 1 W 2.64
Se (0.6640, 0.0000, 0.4102)  2 W 2.46

E_tot: -119.8 eV per cell
formation energy (no corrections): 0.006 eV per atom
space-group type: Pm (6)
magnetic moment: 0.000 μB/cell

No. 6
Density functional theory data (meta-GGA SCAN) for a PBEsol-optimized structure of SiWSe2.

Unit cell a=3.1157 b=3.1157 c=6.8236 alpha=90.00 beta=90.00 gamma=90.00
With the nearest neighbours (Å) after each atom.
Fractional coordinates of all 4 atoms:
Si (0.0000, 0.0000, 0.0000)  8 Se 2.90, 4 Si 3.12
W (0.0000, 0.0000, 0.5000)  8 Se 2.68
Se (0.5000, 0.5000, 0.2769)  4 W 2.68, 4 Si 2.90
Se (0.5000, 0.5000, 0.7231)  4 W 2.68, 4 Si 2.90

E_tot: -117.9 eV per cell
formation energy (no corrections): 0.496 eV per atom
space-group type: P4/mmm (123)
magnetic moment: 0.000 μB/cell

No. 7
Density functional theory data (meta-GGA SCAN) for a PBEsol-optimized structure of SiW2Se.

Unit cell a=2.9984 b=4.5719 c=4.3947 alpha=90.00 beta=90.00 gamma=90.00
With the nearest neighbours (Å) after each atom.
Fractional coordinates of all 4 atoms:
Si (0.0000, 0.0000, 0.0000)  6 W 2.59-2.70, 4 Se 2.89
W (0.0000, 0.5000, 0.7235)  2 Si 2.59, 4 Se 2.63-2.69, 4 W 2.89
W (0.5000, 0.0000, 0.5103)  4 Si 2.62-2.70, 2 Se 2.63, 4 W 2.89
Se (0.5000, 0.5000, 0.2159)  6 W 2.63-2.69, 4 Si 2.89

E_tot: -168.3 eV per cell
energy relative to the lowest polymorph listed for this composition: 0 meV per atom
formation energy (no corrections): 0.300 eV per atom
space-group type: Pmm2 (25)
magnetic moment: 0.000 μB/cell

No. 8
Density functional theory data (meta-GGA SCAN) for a PBEsol-optimized structure of SiW2Se.

Unit cell a=4.3610 b=4.3610 c=3.0492 alpha=90.00 beta=90.00 gamma=90.00
With the nearest neighbours (Å) after each atom.
Fractional coordinates of all 4 atoms:
Si (0.0000, 0.0000, 0.0000)  8 W 2.66
W (0.0000, 0.5000, 0.5000)  4 Se 2.66, 4 Si 2.66
W (0.5000, 0.0000, 0.5000)  4 Se 2.66, 4 Si 2.66
Se (0.5000, 0.5000, 0.0000)  8 W 2.66

E_tot: -167.7 eV per cell
energy relative to the lowest polymorph listed for this composition: 140 meV per atom
formation energy (no corrections): 0.441 eV per atom
space-group type: P4/mmm (123)
magnetic moment: 0.000 μB/cell

No. 9
Density functional theory data (meta-GGA SCAN) for a PBEsol-optimized structure of SiWSe2.

Unit cell a=6.6683 b=6.6683 c=6.6683 alpha=151.18 beta=146.61 gamma=44.67
With the nearest neighbours (Å) after each atom.
Fractional coordinates of all 4 atoms:
Si (0.0000, 0.0000, 0.0000)  4 Se 2.49, 4 W 2.53
W (0.5000, 0.5000, 0.0000)  4 Si 2.53, 4 Se 2.66
Se (0.1500, 0.6500, 0.5000)  2 Si 2.49, 2 W 2.66
Se (0.8500, 0.3500, 0.5000)  2 Si 2.49, 2 W 2.66

E_tot: -119.2 eV per cell
formation energy (no corrections): 0.165 eV per atom
space-group type: Immm (71)
magnetic moment: 0.005 μB/cell

No. 10
Density functional theory data (meta-GGA SCAN) for a PBEsol-optimized structure of YSiSe3.

Unit cell a=5.3243 b=5.3243 c=5.3243 alpha=90.00 beta=90.00 gamma=90.00
With the nearest neighbours (Å) after each atom.
Fractional coordinates of all 5 atoms:
Y (0.0000, 0.0000, 0.0000)  6 Se 2.66
Si (0.5000, 0.5000, 0.5000)  12 Se 3.76
Se (0.0000, 0.0000, 0.5000)  2 Y 2.66
Se (0.0000, 0.5000, 0.0000)  2 Y 2.66
Se (0.5000, 0.0000, 0.0000)  2 Y 2.66

E_tot: -98.3 eV per cell
formation energy (no corrections): -0.034 eV per atom
space-group type: Pm-3m (221)
magnetic moment: 0.000 μB/cell

No. 11
Density functional theory data (meta-GGA SCAN) for a PBEsol-optimized structure of Zn3SiSe.

Unit cell a=4.6334 b=4.6334 c=4.6334 alpha=90.00 beta=90.00 gamma=90.00
With the nearest neighbours (Å) after each atom.
Fractional coordinates of all 5 atoms:
Zn (0.0000, 0.0000, 0.5000)  2 Si 2.32
Zn (0.0000, 0.5000, 0.0000)  2 Si 2.32
Zn (0.5000, 0.0000, 0.0000)  2 Si 2.32
Si (0.0000, 0.0000, 0.0000)  6 Zn 2.32
Se (0.5000, 0.5000, 0.5000)  12 Zn 3.28

E_tot: -69.1 eV per cell
energy relative to the lowest polymorph listed for this composition: 0 meV per atom
formation energy (no corrections): 0.304 eV per atom
space-group type: Pm-3m (221)
magnetic moment: 0.001 μB/cell

No. 12
Density functional theory data (meta-GGA SCAN) for a PBEsol-optimized structure of Zn2SiSe.

Unit cell a=5.7566 b=5.7566 c=5.7566 alpha=142.81 beta=142.81 gamma=53.61
With the nearest neighbours (Å) after each atom.
Fractional coordinates of all 4 atoms:
Zn (0.0000, 0.0000, 0.0000)  4 Se 2.60
Zn (0.7500, 0.2500, 0.5000)  4 Si 2.60
Si (0.2500, 0.7500, 0.5000)  4 Zn 2.60
Se (0.5000, 0.5000, 0.0000)  4 Zn 2.60

E_tot: -55.7 eV per cell
energy relative to the lowest polymorph listed for this composition: 129 meV per atom
formation energy (no corrections): 0.354 eV per atom
space-group type: I-4m2 (119)
magnetic moment: 0.000 μB/cell

No. 13
Density functional theory data (meta-GGA SCAN) for a PBEsol-optimized structure of Zn2SiSe.

Unit cell a=4.5513 b=4.5513 c=4.5513 alpha=60.00 beta=60.00 gamma=60.00
With the nearest neighbours (Å) after each atom.
Fractional coordinates of all 4 atoms:
Zn (0.0000, 0.0000, 0.0000)  4 Si 2.79, 4 Zn 2.79
Zn (0.2500, 0.2500, 0.2500)  4 Se 2.79, 4 Zn 2.79
Si (0.7500, 0.7500, 0.7500)  4 Se 2.79, 4 Zn 2.79
Se (0.5000, 0.5000, 0.5000)  4 Zn 2.79, 4 Si 2.79

E_tot: -55.0 eV per cell
energy relative to the lowest polymorph listed for this composition: 313 meV per atom
formation energy (no corrections): 0.538 eV per atom
space-group type: F-43m (216)
magnetic moment: 0.000 μB/cell

No. 14
Density functional theory data (meta-GGA SCAN) for a PBEsol-optimized structure of Zn2SiSe.

Unit cell a=4.4436 b=4.4436 c=4.0522 alpha=104.55 beta=104.55 gamma=106.33
With the nearest neighbours (Å) after each atom.
Fractional coordinates of all 4 atoms:
Zn (0.0000, 0.5000, 0.0000)  2 Se 2.60, 2 Si 2.60, 2 Zn 2.66
Zn (0.5000, 0.0000, 0.0000)  2 Se 2.60, 2 Si 2.60, 2 Zn 2.66
Si (0.0000, 0.0000, 0.5000)  4 Zn 2.60, 2 Se 2.66
Se (0.5000, 0.5000, 0.5000)  4 Zn 2.60, 2 Si 2.66

E_tot: -56.2 eV per cell
energy relative to the lowest polymorph listed for this composition: 0 meV per atom
formation energy (no corrections): 0.225 eV per atom
space-group type: C2/m (12)
magnetic moment: 0.000 μB/cell

No. 15
Density functional theory data (meta-GGA SCAN) for a PBEsol-optimized structure of Zr2SiSe.

Unit cell a=4.5708 b=5.1735 c=5.1735 alpha=37.13 beta=90.00 gamma=90.00
With the nearest neighbours (Å) after each atom.
Fractional coordinates of all 4 atoms:
Zr (0.0000, 0.0000, 0.0000)  3 Si 2.68-2.77, 4 Se 2.84
Zr (0.5000, 0.2609, 0.2609)  3 Se 2.70-2.75, 4 Si 2.84
Si (0.0000, 0.7271, 0.7271)  7 Zr 2.68-2.84, 2 Se 2.95
Se (0.5000, 0.5362, 0.5362)  7 Zr 2.70-2.84, 2 Si 2.95

E_tot: -94.9 eV per cell
energy relative to the lowest polymorph listed for this composition: 0 meV per atom
formation energy (no corrections): -0.851 eV per atom
space-group type: Amm2 (38)
magnetic moment: 0.000 μB/cell